Entry from Alexandria via LeMat-Bulk: crystalline SmTm2Ga2Ag2 at its relaxed geometry (GGA-PBE).

Unit cell a=4.6243 b=4.6243 c=26.4885 alpha=90.00 beta=90.00 gamma=120.00
Space group R-3m (No. 166, hexagonal axes)
One atom of each set of equivalent atoms:
1 Sm 0.0000 0.0000 0.0000 [3 per cell]
2 Tm 0.0000 0.0000 0.1271 [6 per cell]
3 Ga 0.0000 0.0000 0.2546 [6 per cell]
4 Ag 0.0000 0.0000 0.4047 [6 per cell]

Total magnetization (μB per atom): 0.00
Calculated formation energy (eV per formula unit): -2.6